Here is AcNdTh after structural relaxation from Alexandria via LeMat-Bulk. Energies are from GGA-PBE.

Cell lengths 3.731, 3.731, 9.207 Å; angles 90.00, 90.00, 120.00 degrees
Sites, in units of the cell vectors:
Ac (0.000, 0.000, 0.988)
Nd (0.667, 0.333, 0.351)
Th (0.333, 0.667, 0.662)

The volume is 111.0 Å³/f.u. The symmetry is P3m1. The density of states at the Fermi level is 1.527 states/eV/atom. Its offset from the most stable computed form is 10 meV/atom. The calculation puts the formation energy at 85 meV per atom.